## BaLa2GeRu (PBE)

Data for a relaxed structure of BaLa2GeRu.

Lattice parameters (Å, degrees): 5.535 5.535 5.121 90.00 90.00 90.00
Space group P4/mmm (No. 123)
Symmetry-distinct sites (fractional):
Ba 0.000 0.000 0.000 x1
La 0.000 0.500 0.500 x2
Ge 0.500 0.500 0.000 x1
Ru 0.500 0.500 0.500 x1

Output
- ΔE_f: -221 meV/atom